(1)
# Hf2AlB2Ir5 (PBE, relaxed)
data_Hf2AlB2Ir5
_symmetry_space_group_name_H-M 'P 4/m b m'
_symmetry_Int_Tables_number 127
_symmetry_space_group_name_Hall '-P 4 2ab'
_cell_length_a 9.226
_cell_length_b 9.226
_cell_length_c 3.247
_cell_angle_alpha 90.00
_cell_angle_beta 90.00
_cell_angle_gamma 90.00
loop_
_atom_site_label
_atom_site_type_symbol
_atom_site_fract_x
_atom_site_fract_y
_atom_site_fract_z
Hf1 Hf 0.176 0.324 0.000
Al1 Al 0.000 0.000 0.000
B1 B 0.123 0.623 0.000
Ir1 Ir 0.000 0.500 0.500
Ir2 Ir 0.070 0.785 0.500
# Crystal system: tetragonal
# D(E_F) in states/eV per atom: 0.3633

***

(2)
# La2HfAlB (PBE, relaxed)
data_La2HfAlB
_symmetry_space_group_name_H-M 'P 4/m m m'
_symmetry_Int_Tables_number 123
_symmetry_space_group_name_Hall '-P 4 2'
_cell_length_a 5.569
_cell_length_b 5.569
_cell_length_c 5.175
_cell_angle_alpha 90.00
_cell_angle_beta 90.00
_cell_angle_gamma 90.00
loop_
_atom_site_label
_atom_site_type_symbol
_atom_site_fract_x
_atom_site_fract_y
_atom_site_fract_z
La1 La 0.000 0.500 0.000
Hf1 Hf 0.000 0.000 0.000
Al1 Al 0.000 0.000 0.500
B1 B 0.500 0.500 0.500
# Crystal system: tetragonal
# D(E_F) in states/eV per atom: 1.5148

***

(3)
# Hf2Mn5AlB2 (PBE, relaxed)
data_Hf2Mn5AlB2
_symmetry_space_group_name_H-M 'P 4/m b m'
_symmetry_Int_Tables_number 127
_symmetry_space_group_name_Hall '-P 4 2ab'
_cell_length_a 8.878
_cell_length_b 8.878
_cell_length_c 3.106
_cell_angle_alpha 90.00
_cell_angle_beta 90.00
_cell_angle_gamma 90.00
loop_
_atom_site_label
_atom_site_type_symbol
_atom_site_fract_x
_atom_site_fract_y
_atom_site_fract_z
Hf1 Hf 0.176 0.324 0.000
Mn1 Mn 0.000 0.500 0.500
Mn2 Mn 0.068 0.778 0.500
Al1 Al 0.000 0.000 0.000
B1 B 0.120 0.620 0.000
# Crystal system: tetragonal
# D(E_F) in states/eV per atom: 0.7768

***

(4)
# HfAl2BMo (PBE, relaxed)
data_HfAl2BMo
_symmetry_space_group_name_H-M 'P 4/m m m'
_symmetry_Int_Tables_number 123
_symmetry_space_group_name_Hall '-P 4 2'
_cell_length_a 4.132
_cell_length_b 4.132
_cell_length_c 4.564
_cell_angle_alpha 90.00
_cell_angle_beta 90.00
_cell_angle_gamma 90.00
loop_
_atom_site_label
_atom_site_type_symbol
_atom_site_fract_x
_atom_site_fract_y
_atom_site_fract_z
Hf1 Hf 0.000 0.000 0.000
Al1 Al 0.000 0.500 0.500
B1 B 0.000 0.000 0.500
Mo1 Mo 0.500 0.500 0.000
# Polymorph energy (0 for the lowest one) in meV/atom: 144
# Crystal system: tetragonal
# D(E_F) in states/eV per atom: 0.5239

***

Energy of formation from the pure elements values (in eV per atom) by entry order: -0.85; 1.37; -0.41; 0.23.
Calculated volume values (in Å³ per atom) by entry order: 13.82; 32.10; 12.24; 15.58.